Compound: Be5As4
Source: Alexandria
Functional: PBE-GGA
Structure: relaxed

## Properties
DFT formation energy, meV per atom: 267
M_tot, μB/f.u.: 0.00

Lattice parameters (Å, degrees): 8.5809 8.5809 3.4897 90.00 90.00 90.00
Space group I4/mmm (No. 139)
Symmetry-distinct sites (fractional):
Be 0.0000 0.0000 0.0000 x2
Be 0.1261 0.1261 0.5000 x8
As 0.0000 0.2788 0.0000 x8

Compound: Tl2AgGe2
Source: Alexandria
Functional: PBE-GGA
Structure: relaxed

## Properties
DFT formation energy, meV per atom: 359
Energy above the lowest structure with this stoichiometry, kJ/mol of atoms: 18.1
M_tot, μB/f.u.: 0.00

Lattice parameters (Å, degrees): 7.8214 7.8214 4.1966 90.00 90.00 90.00
Space group P4/mbm (No. 127)
Symmetry-distinct sites (fractional):
Tl 0.1772 0.3228 0.0000 x4
Ag 0.0000 0.0000 0.0000 x2
Ge 0.1163 0.6163 0.5000 x4

Compound: CoTcRu2
Source: Alexandria
Functional: PBE-GGA
Structure: relaxed

## Properties
DFT formation energy, meV per atom: 99
Energy above the lowest structure with this stoichiometry, kJ/mol of atoms: 1.2
M_tot, μB/f.u.: 0.00

Lattice parameters (Å, degrees): 3.7516 3.7516 7.5335 90.00 90.00 90.00
Space group I-4m2 (No. 119)
Symmetry-distinct sites (fractional):
Co 0.0000 0.0000 0.0000 x2
Tc 0.0000 0.5000 0.2500 x2
Ru 0.0000 0.0000 0.5000 x2
Ru 0.0000 0.5000 0.7500 x2

Compound: Zn2InCu2
Source: Alexandria
Functional: PBE-GGA
Structure: relaxed

## Properties
DFT formation energy, meV per atom: 42
Energy above the lowest structure with this stoichiometry, kJ/mol of atoms: 0.6
M_tot, μB/f.u.: 0.00

Lattice parameters (Å, degrees): 7.4998 7.4998 2.7758 90.00 90.00 90.00
Space group P4/mbm (No. 127)
Symmetry-distinct sites (fractional):
Zn 0.1212 0.3788 0.0000 x4
In 0.0000 0.0000 0.0000 x2
Cu 0.1749 0.6749 0.5000 x4

Compound: ScBe2W2
Source: Alexandria
Functional: PBE-GGA
Structure: relaxed

## Properties
DFT formation energy, meV per atom: 485
Energy above the lowest structure with this stoichiometry, kJ/mol of atoms: 38.4
M_tot, μB/f.u.: 0.00

Lattice parameters (Å, degrees): 4.3560 4.3560 8.0740 90.00 90.00 90.00
Space group I4/mmm (No. 139)
Symmetry-distinct sites (fractional):
Sc 0.0000 0.0000 0.0000 x2
Be 0.0000 0.5000 0.2500 x4
W 0.0000 0.0000 0.3450 x4

Compound: Ca2ZrSi
Source: Alexandria
Functional: PBE-GGA
Structure: relaxed

## Properties
E_form (uncorrected), eV per atom: 0.213
M_tot, μB/f.u.: 0.71

Lattice parameters (Å, degrees): 3.4072 3.4072 31.6196 90.00 90.00 120.00
Space group R-3m (No. 166, hexagonal axes)
Symmetry-distinct sites (fractional):
Ca 0.0000 0.0000 0.2390 x6
Zr 0.0000 0.0000 0.0000 x3
Si 0.0000 0.0000 0.5000 x3